Entry 1:
Here is a geometry-optimized Nb6TcW structure from OQMD via LeMat-Bulk. Energies are from GGA-PBE.

```
data_Nb6TcW
_chemical_formula_sum 'Nb6 Tc1 W1'
_cell_length_a 4.6063
_cell_length_b 4.6063
_cell_length_c 6.5209
_cell_angle_alpha 90.00
_cell_angle_beta 90.00
_cell_angle_gamma 90.00
_symmetry_space_group_name_H-M 'P 4/m m m'
_symmetry_Int_Tables_number 123
_symmetry_space_group_name_Hall '-P 4 2'
loop_
_atom_site_label
_atom_site_fract_x
_atom_site_fract_y
_atom_site_fract_z
Nb1 0.0000 0.0000 0.0000
Nb2 0.0000 0.5000 0.2478
Nb3 0.5000 0.5000 0.5000
Tc1 0.5000 0.5000 0.0000
W1 0.0000 0.0000 0.5000
```

ρ in g/cm3: 10.07
E_form in meV/atom: -105
Calculated total energy in eV per atom: -10.591

Entry 2:
Here is a geometry-optimized CsPrFe structure from OQMD via LeMat-Bulk. Energies are from GGA-PBE.

```
data_CsPrFe
_chemical_formula_sum 'Cs4 Pr4 Fe4'
_cell_length_a 7.2813
_cell_length_b 7.2813
_cell_length_c 7.2813
_cell_angle_alpha 90.00
_cell_angle_beta 90.00
_cell_angle_gamma 90.00
_symmetry_space_group_name_H-M 'F -4 3 m'
_symmetry_Int_Tables_number 216
_symmetry_space_group_name_Hall 'F -4 2 3'
loop_
_atom_site_label
_atom_site_fract_x
_atom_site_fract_y
_atom_site_fract_z
Cs1 0.0000 0.0000 0.0000
Pr1 0.0000 0.0000 0.5000
Fe1 0.2500 0.2500 0.7500
```

ρ in g/cm3: 5.67
Calculated total energy in eV per atom: -3.479
Energy relative to the lowest polymorph listed for this composition in meV per atom: 0

Entry 3:
Here is a geometry-optimized YHoAl4Ni2 structure from OQMD via LeMat-Bulk. Energies are from GGA-PBE.

```
data_YHoAl4Ni2
_chemical_formula_sum 'Y2 Ho2 Al8 Ni4'
_cell_length_a 6.8733
_cell_length_b 4.0547
_cell_length_c 10.1719
_cell_angle_alpha 90.00
_cell_angle_beta 90.00
_cell_angle_gamma 90.00
_symmetry_space_group_name_H-M 'A m m 2'
_symmetry_Int_Tables_number 38
loop_
_symmetry_equiv_pos_as_xyz
'x,y,z'
'-x,-y,z'
'-x,y,z'
'x,-y,z'
'x,y+1/2,z+1/2'
'-x,-y+1/2,z+1/2'
'-x,y+1/2,z+1/2'
'x,-y+1/2,z+1/2'
loop_
_atom_site_label
_atom_site_fract_x
_atom_site_fract_y
_atom_site_fract_z
Y1 0.0000 0.0000 0.0000
Ho1 0.5000 0.0000 0.8772
Al1 0.1955 0.0000 0.2820
Al2 0.3047 0.0000 0.5953
Ni1 0.0000 0.0000 0.7228
Ni2 0.5000 0.0000 0.1544
```

ρ in g/cm3: 5.61
Calculated total energy in eV per atom: -5.294

Entry 4:
Here is a geometry-optimized LaY2Zn3Ir2Pt structure from OQMD via LeMat-Bulk. Energies are from GGA-PBE.

```
data_LaY2Zn3Ir2Pt
_chemical_formula_sum 'La2 Y4 Zn6 Ir4 Pt2'
_cell_length_a 3.9531
_cell_length_b 12.5412
_cell_length_c 7.2744
_cell_angle_alpha 90.00
_cell_angle_beta 90.00
_cell_angle_gamma 90.00
_symmetry_space_group_name_H-M 'A m m 2'
_symmetry_Int_Tables_number 38
loop_
_symmetry_equiv_pos_as_xyz
'x,y,z'
'-x,-y,z'
'-x,y,z'
'x,-y,z'
'x,y+1/2,z+1/2'
'-x,-y+1/2,z+1/2'
'-x,y+1/2,z+1/2'
'x,-y+1/2,z+1/2'
loop_
_atom_site_label
_atom_site_fract_x
_atom_site_fract_y
_atom_site_fract_z
La1 0.0000 0.0000 0.0000
Y1 0.0000 0.2048 0.6199
Zn1 0.5000 0.0000 0.6571
Zn2 0.5000 0.1276 0.2953
Ir1 0.5000 0.1689 0.9168
Pt1 0.0000 0.0000 0.4196
```

ρ in g/cm3: 10.06
E_form in meV/atom: -756
Calculated total energy in eV per atom: -5.802

Entry 5:
Here is a geometry-optimized CoW2 structure from OQMD via LeMat-Bulk. Energies are from GGA-PBE.

```
data_CoW2
_chemical_formula_sum 'Co10 W20'
_cell_length_a 9.3154
_cell_length_b 9.3154
_cell_length_c 4.9035
_cell_angle_alpha 90.00
_cell_angle_beta 90.00
_cell_angle_gamma 90.00
_symmetry_space_group_name_H-M 'P 42/m n m'
_symmetry_Int_Tables_number 136
_symmetry_space_group_name_Hall '-P 4n 2n'
loop_
_atom_site_label
_atom_site_fract_x
_atom_site_fract_y
_atom_site_fract_z
Co1 0.0000 0.0000 0.0000
Co2 0.0681 0.2536 0.0000
W1 0.0375 0.3718 0.5000
W2 0.1022 0.1022 0.5000
W3 0.1822 0.8178 0.2492
```

ρ in g/cm3: 16.65
E_form in meV/atom: 66
Calculated total energy in eV per atom: -10.942
Energy relative to the lowest polymorph listed for this composition in meV per atom: 53

Entry 6:
Here is a geometry-optimized ScOsNO structure from OQMD via LeMat-Bulk. Energies are from GGA-PBE.

```
data_ScOsNO
_chemical_formula_sum 'Sc4 Os4 N4 O4'
_cell_length_a 5.3158
_cell_length_b 7.4472
_cell_length_c 4.9478
_cell_angle_alpha 90.00
_cell_angle_beta 90.00
_cell_angle_gamma 90.00
_symmetry_space_group_name_H-M 'P c a 21'
_symmetry_Int_Tables_number 29
loop_
_symmetry_equiv_pos_as_xyz
'x,y,z'
'-x,-y,z+1/2'
'-x+1/2,y,z+1/2'
'x+1/2,-y,z'
loop_
_atom_site_label
_atom_site_fract_x
_atom_site_fract_y
_atom_site_fract_z
Sc1 0.0273 0.1316 0.0000
Os1 0.1087 0.4780 0.6769
N1 0.1112 0.3268 0.3386
O1 0.2493 0.9717 0.7436
```

ρ in g/cm3: 8.99
Calculated total energy in eV per atom: -9.175
Energy relative to the lowest polymorph listed for this composition in meV per atom: 0

Entry 7:
Here is a geometry-optimized Zr2NiSn structure from OQMD via LeMat-Bulk. Energies are from GGA-PBE.

```
data_Zr2NiSn
_chemical_formula_sum 'Zr8 Ni4 Sn4'
_cell_length_a 6.0062
_cell_length_b 10.3860
_cell_length_c 4.9609
_cell_angle_alpha 90.00
_cell_angle_beta 90.00
_cell_angle_gamma 90.00
_symmetry_space_group_name_H-M 'C m c m'
_symmetry_Int_Tables_number 63
_symmetry_space_group_name_Hall '-C 2c 2'
loop_
_atom_site_label
_atom_site_fract_x
_atom_site_fract_y
_atom_site_fract_z
Zr1 0.2411 0.0910 0.2500
Ni1 0.0000 0.1612 0.7500
Sn1 0.0000 0.3359 0.2500
```

ρ in g/cm3: 7.72
Calculated total energy in eV per atom: -6.991

Entry 8:
Here is a geometry-optimized BaZn2PAu structure from OQMD via LeMat-Bulk. Energies are from GGA-PBE.

```
data_BaZn2PAu
_chemical_formula_sum 'Ba2 Zn4 P2 Au2'
_cell_length_a 4.3931
_cell_length_b 4.3931
_cell_length_c 11.3135
_cell_angle_alpha 90.00
_cell_angle_beta 90.00
_cell_angle_gamma 90.00
_symmetry_space_group_name_H-M 'I 4 m m'
_symmetry_Int_Tables_number 107
_symmetry_space_group_name_Hall 'I 4 -2'
loop_
_atom_site_label
_atom_site_fract_x
_atom_site_fract_y
_atom_site_fract_z
Ba1 0.0000 0.0000 0.0000
Zn1 0.0000 0.5000 0.2407
P1 0.0000 0.0000 0.6020
Au1 0.0000 0.0000 0.3693
```

ρ in g/cm3: 7.55
Calculated total energy in eV per atom: -3.167